Record 1
Compound: ZrPBrCl2
Source: Alexandria
Functional: PBE
Structure: optimized geometry

The structure belongs to space group P4/mmm (No. 123); the cell edges are 4.932, 4.932 and 5.362 Å and the angles 90.00°, 90.00° and 90.00°. The inequivalent atoms are Zr at (0.000, 0.000, 0.000), P at (0.000, 0.000, 0.500), Br at (0.500, 0.500, 0.500) and Cl at (0.000, 0.500, 0.000).

The calculation puts the raw formation energy at -0.613 eV/atom. As for the energy above the most stable polymorph in this dataset: 0 meV/atom. As for the calculated density: 3.5 Mg/m³. For the density of states at the Fermi level, the calculation gives 3.7 states/eV/cell.


Record 2
Compound: ReAg2As
Source: Alexandria
Functional: PBE
Structure: optimized geometry

The structure belongs to space group P2/m (No. 10); the cell edges are 5.355, 2.717 and 5.358 Å and the angles 90.00°, 119.73° and 90.00°. The inequivalent atoms are Re at (0.000, 0.000, 0.000), Ag at (0.000, 0.500, 0.500), Ag at (0.500, 0.500, 0.500) and As at (0.500, 0.000, 0.000).

Its formation energy is 0.5750 eV/atom. As for the calculated density: 11.7 Mg/m³. For the density of states at the Fermi level, the calculation gives 2.9 states/eV/cell.


Record 3
Compound: K2CoMo
Source: Alexandria
Functional: PBE
Structure: optimized geometry

The structure belongs to space group I4/mmm (No. 139); the cell edges are 3.766, 3.766 and 11.676 Å and the angles 90.00°, 90.00° and 90.00°. The inequivalent atoms are K at (0.000, 0.500, 0.250), Co at (0.000, 0.000, 0.000) and Mo at (0.000, 0.000, 0.500).

Its formation energy is 1.5175 eV/atom. As for the energy above the most stable polymorph in this dataset: 715 meV/atom. As for the calculated density: 4.7 Mg/m³. For the density of states at the Fermi level, the calculation gives 5.1 states/eV/cell.


Record 4
Compound: SmGdHoTl
Source: Alexandria
Functional: PBE
Structure: optimized geometry

The structure belongs to space group F-43m (No. 216); the cell edges are 7.793, 7.793 and 7.793 Å and the angles 90.00°, 90.00° and 90.00°. The inequivalent atoms are Sm at (0.000, 0.000, 0.000), Gd at (0.000, 0.000, 0.500), Ho at (0.250, 0.250, 0.250) and Tl at (0.250, 0.250, 0.750).

Its formation energy is -0.0689 eV/atom. As for the calculated density: 9.5 Mg/m³. For the density of states at the Fermi level, the calculation gives 20.0 states/eV/cell.


Record 5
Compound: Cr2TeRu
Source: Alexandria
Functional: PBE
Structure: optimized geometry

The structure belongs to space group R3m (No. 160, hexagonal axes); the cell edges are 2.9916, 2.9916 and 23.7668 Å and the angles 90.00°, 90.00° and 120.00°. The inequivalent atoms are Cr at (0.0000, 0.0000, 0.0000), Cr at (0.0000, 0.0000, 0.2653), Te at (0.0000, 0.0000, 0.7577) and Ru at (0.0000, 0.0000, 0.5173).

The calculation puts the raw formation energy at 0.548 eV/atom. As for the calculated density: 9.0 Mg/m³. For the density of states at the Fermi level, the calculation gives 14.6 states/eV/cell.


Record 6
Compound: LiMg4In
Source: Alexandria
Functional: PBE
Structure: optimized geometry

The structure belongs to space group F-43m (No. 216); the cell edges are 8.313, 8.313 and 8.313 Å and the angles 90.00°, 90.00° and 90.00°. The inequivalent atoms are Li at (0.000, 0.000, 0.000), Mg at (0.125, 0.125, 0.625) and In at (0.250, 0.250, 0.250).

Its formation energy is 0.0342 eV/atom. As for the energy above the most stable polymorph in this dataset: 85 meV/atom. As for the calculated density: 2.5 Mg/m³. For the density of states at the Fermi level, the calculation gives 9.1 states/eV/cell.


Record 7
Compound: Rb2Tl2In
Source: Alexandria
Functional: PBE
Structure: optimized geometry

The structure belongs to space group P4/mbm (No. 127); the cell edges are 8.144, 8.144 and 6.236 Å and the angles 90.00°, 90.00° and 90.00°. The inequivalent atoms are Rb at (0.180, 0.320, 0.000), Tl at (0.136, 0.636, 0.500) and In at (0.000, 0.000, 0.500).

Its formation energy is -0.0110 eV/atom. As for the energy above the most stable polymorph in this dataset: 75 meV/atom. As for the calculated density: 5.6 Mg/m³. For the density of states at the Fermi level, the calculation gives 7.9 states/eV/cell.


Record 8
Compound: Bi2SbPb4
Source: Alexandria
Functional: PBE
Structure: optimized geometry

The structure belongs to space group Cc (No. 9); the cell edges are 9.847, 13.682 and 8.114 Å and the angles 90.00°, 122.19° and 90.00°. The inequivalent atoms are Bi at (0.000, 0.063, 0.000), Bi at (0.383, 0.192, 0.748), Sb at (0.055, 0.381, 0.875), Pb at (0.015, 0.175, 0.645), Pb at (0.230, 0.424, 0.639), Pb at (0.234, 0.249, 0.273) and Pb at (0.318, 0.006, 0.975).

The calculation puts the raw formation energy at 0.031 eV/atom. As for the energy above the most stable polymorph in this dataset: 0 meV/atom. As for the calculated density: 9.8 Mg/m³. For the density of states at the Fermi level, the calculation gives 21.4 states/eV/cell.


> Look up the calculated density of the second one.

11.7 Mg/m³


> Among the records above, which one has the highest calculated density?

ReAg2As


> Number 6 is which compound?

LiMg4In


> Look up the calculated density of the first one.

3.5 Mg/m³